# Mn3Cd5O12 | the Alexandria database | PBE+U | relaxed
# Total DFT energy (no corrections) = -396.2 eV/cell
# Calculated volume = 1060 Å³ per cell
# M_tot = 68.20 μB per cell
# Fermi-level density of states = 0.246 states/eV/atom
# Space-group type = Ia-3d, No. 230
data_Mn3Cd5O12
_chemical_formula_sum 'Mn12 Cd20 O48'
_space_group_name_H-M_alt 'P 1'
_space_group_IT_number 1
_cell_length_a 11.126
_cell_length_b 11.126
_cell_length_c 11.126
_cell_angle_alpha 109.47
_cell_angle_beta 109.47
_cell_angle_gamma 109.47
loop_
_space_group_symop_operation_xyz
'x,y,z'
loop_
_atom_site_label
_atom_site_fract_x
_atom_site_fract_y
_atom_site_fract_z
Mn1 0.125 0.250 0.375
Mn2 0.125 0.375 0.750
Mn3 0.250 0.375 0.125
Mn4 0.250 0.875 0.625
Mn5 0.375 0.125 0.250
Mn6 0.375 0.750 0.125
Mn7 0.625 0.250 0.875
Mn8 0.625 0.875 0.750
Mn9 0.750 0.125 0.375
Mn10 0.750 0.625 0.875
Mn11 0.875 0.625 0.250
Mn12 0.875 0.750 0.625
Cd1 0.000 0.000 0.000
Cd2 0.000 0.000 0.500
Cd3 0.000 0.500 0.000
Cd4 0.000 0.500 0.500
Cd5 0.125 0.750 0.875
Cd6 0.125 0.875 0.250
Cd7 0.250 0.125 0.875
Cd8 0.250 0.625 0.375
Cd9 0.375 0.250 0.625
Cd10 0.375 0.625 0.750
Cd11 0.500 0.000 0.000
Cd12 0.500 0.000 0.500
Cd13 0.500 0.500 0.000
Cd14 0.500 0.500 0.500
Cd15 0.625 0.375 0.250
Cd16 0.625 0.750 0.375
Cd17 0.750 0.375 0.625
Cd18 0.750 0.875 0.125
Cd19 0.875 0.125 0.750
Cd20 0.875 0.250 0.125
O1 0.046 0.617 0.372
O2 0.046 0.929 0.674
O3 0.071 0.245 0.117
O4 0.071 0.326 0.954
O5 0.117 0.071 0.245
O6 0.117 0.546 0.872
O7 0.128 0.745 0.674
O8 0.128 0.883 0.454
O9 0.174 0.245 0.628
O10 0.174 0.429 0.546
O11 0.245 0.117 0.071
O12 0.245 0.628 0.174
O13 0.255 0.326 0.872
O14 0.255 0.429 0.383
O15 0.326 0.872 0.255
O16 0.326 0.954 0.071
O17 0.372 0.046 0.617
O18 0.372 0.826 0.755
O19 0.383 0.255 0.429
O20 0.383 0.628 0.954
O21 0.429 0.383 0.255
O22 0.429 0.546 0.174
O23 0.454 0.128 0.883
O24 0.454 0.826 0.571
O25 0.546 0.174 0.429
O26 0.546 0.872 0.117
O27 0.571 0.454 0.826
O28 0.571 0.617 0.745
O29 0.617 0.372 0.046
O30 0.617 0.745 0.571
O31 0.628 0.174 0.245
O32 0.628 0.954 0.383
O33 0.674 0.046 0.929
O34 0.674 0.128 0.745
O35 0.745 0.571 0.617
O36 0.745 0.674 0.128
O37 0.755 0.372 0.826
O38 0.755 0.883 0.929
O39 0.826 0.571 0.454
O40 0.826 0.755 0.372
O41 0.872 0.117 0.546
O42 0.872 0.255 0.326
O43 0.883 0.454 0.128
O44 0.883 0.929 0.755
O45 0.929 0.674 0.046
O46 0.929 0.755 0.883
O47 0.954 0.071 0.326
O48 0.954 0.383 0.628